Below is crystalline Pm2Ag2GeO6 at its relaxed geometry, with properties calculated at the PBE-GGA level.

Results
E in eV per cell: -70.60
E_form (uncorrected) in meV/atom: -1911

Geometry as CIF:
```
data_Pm2Ag2GeO6
_cell_length_a 5.986
_cell_length_b 5.986
_cell_length_c 6.330
_cell_angle_alpha 86.09
_cell_angle_beta 86.09
_cell_angle_gamma 121.19
_space_group_name_H-M_alt 'P 1'
_space_group_IT_number 1
loop_
_space_group_symop_operation_xyz
'x,y,z'
loop_
_atom_site_label
_atom_site_fract_x
_atom_site_fract_y
_atom_site_fract_z
Ag1 0.145 0.855 0.000
Ag2 0.855 0.145 0.000
O1 0.036 0.745 0.330
O2 0.698 0.698 0.646
O3 0.745 0.036 0.330
O4 0.255 0.964 0.670
O5 0.964 0.255 0.670
O6 0.302 0.302 0.354
Pm1 0.663 0.337 0.500
Pm2 0.337 0.663 0.500
Ge1 0.000 0.000 0.500
```